Entry 1:
DFT (PBE-GGA) results for an optimized crystal structure of Sm5B4Rh15.

Unit cell a=4.239 b=4.239 c=20.727 alpha=90.00 beta=90.00 gamma=90.00
Space group P4/mmm (No. 123)
Inequivalent atoms, fractional coordinates:
Sm: 0.000 0.000 0.000 [1 per cell]
Sm: 0.000 0.000 0.202 [2 per cell]
Sm: 0.000 0.000 0.404 [2 per cell]
B: 0.500 0.500 0.103 [2 per cell]
B: 0.500 0.500 0.311 [2 per cell]
Rh: 0.000 0.500 0.102 [4 per cell]
Rh: 0.000 0.500 0.303 [4 per cell]
Rh: 0.000 0.500 0.500 [2 per cell]
Rh: 0.500 0.500 0.000 [1 per cell]
Rh: 0.500 0.500 0.205 [2 per cell]
Rh: 0.500 0.500 0.410 [2 per cell]

Properties
total energy: -7.38 eV/atom
formation enthalpy at 0 K: -0.686 eV per atom

=====

Entry 2:
DFT (PBE-GGA) results for an optimized crystal structure of AcZnGa2Si.

Unit cell a=4.444 b=4.702 c=10.063 alpha=90.00 beta=90.00 gamma=90.00
Space group Imm2 (No. 44)
Inequivalent atoms, fractional coordinates:
Ac: 0.000 0.000 0.000 [2 per cell]
Zn: 0.000 0.500 0.752 [2 per cell]
Ga: 0.000 0.000 0.625 [2 per cell]
Ga: 0.000 0.500 0.259 [2 per cell]
Si: 0.000 0.000 0.378 [2 per cell]

Properties
total energy: -3.77 eV/atom

=====

Entry 3:
DFT (PBE-GGA) results for an optimized crystal structure of Ce2NdIn6.

Unit cell a=8.7685 b=8.7685 c=3.6316 alpha=90.00 beta=90.00 gamma=120.00
Space group P6/mmm (No. 191)
Inequivalent atoms, fractional coordinates:
Ce: 0.3333 0.6667 0.0000 [2 per cell]
Nd: 0.0000 0.0000 0.0000 [1 per cell]
In: 0.0000 0.3335 0.5000 [6 per cell]

Properties
total energy: -4.07 eV/atom
formation enthalpy at 0 K: -0.398 eV per atom

=====

Entry 4:
DFT (PBE-GGA) results for an optimized crystal structure of RbBaTlO2.

Unit cell a=7.716 b=7.326 c=7.499 alpha=90.00 beta=108.86 gamma=90.00
Space group P2/c (No. 13)
Inequivalent atoms, fractional coordinates:
Rb: 0.000 0.214 0.250 [2 per cell]
Ba: 0.500 0.491 0.750 [2 per cell]
Tl: 0.500 0.000 0.000 [2 per cell]
O: 0.348 0.305 0.441 [4 per cell]

Properties
total energy: -4.27 eV/atom

=====

Entry 5:
DFT (PBE-GGA) results for an optimized crystal structure of TcOs3Ru.

Unit cell a=7.009 b=4.767 c=9.319 alpha=90.00 beta=113.88 gamma=90.00
Space group P2_1/c (No. 14)
Inequivalent atoms, fractional coordinates:
Tc: 0.149 0.166 0.099 [4 per cell]
Os: 0.049 0.667 0.200 [4 per cell]
Os: 0.350 0.165 0.899 [4 per cell]
Os: 0.449 0.668 0.800 [4 per cell]
Ru: 0.251 0.664 0.000 [4 per cell]

Properties
total energy: -10.71 eV/atom
E above lowest polymorph: 0 meV/atom
formation enthalpy at 0 K: -0.045 eV per atom

=====

Entry 6:
DFT (PBE-GGA) results for an optimized crystal structure of PrZn2Hg2.

Unit cell a=6.068 b=6.431 c=7.388 alpha=83.93 beta=65.82 gamma=61.90
Space group P-1 (No. 2)
Inequivalent atoms, fractional coordinates:
Pr: 0.102 0.251 0.250 [2 per cell]
Zn: 0.261 0.822 0.941 [2 per cell]
Zn: 0.474 0.323 0.440 [2 per cell]
Hg: 0.123 0.164 0.681 [2 per cell]
Hg: 0.470 0.335 0.819 [2 per cell]

Properties
total energy: -1.83 eV/atom
E above lowest polymorph: 27 meV/atom
formation enthalpy at 0 K: -0.247 eV per atom

=====

Entry 7:
DFT (PBE-GGA) results for an optimized crystal structure of Sr3SmPa2N6.

Unit cell a=6.278 b=10.869 c=6.379 alpha=90.00 beta=109.17 gamma=90.00
Space group C2/m (No. 12)
Inequivalent atoms, fractional coordinates:
Sr: 0.000 0.000 0.000 [2 per cell]
Sr: 0.000 0.336 0.000 [4 per cell]
Sm: 0.000 0.500 0.500 [2 per cell]
Pa: 0.000 0.167 0.500 [4 per cell]
N: 0.212 0.000 0.700 [4 per cell]
N: 0.245 0.322 0.701 [8 per cell]

Properties
total energy: -7.92 eV/atom

=====

Entry 8:
DFT (PBE-GGA) results for an optimized crystal structure of ZnReW3.

Unit cell a=4.473 b=4.473 c=4.473 alpha=90.00 beta=90.00 gamma=90.00
Space group Pm-3m (No. 221)
Inequivalent atoms, fractional coordinates:
Zn: 0.000 0.000 0.000 [1 per cell]
Re: 0.500 0.500 0.500 [1 per cell]
W: 0.000 0.000 0.500 [3 per cell]

Properties
total energy: -8.43 eV/atom
E above lowest polymorph: 41 meV/atom
formation enthalpy at 0 K: 2.090 eV per atom

=====

Entry 9:
DFT (PBE-GGA) results for an optimized crystal structure of CeHoGaGe.

Unit cell a=7.199 b=7.199 c=7.199 alpha=90.00 beta=90.00 gamma=90.00
Space group F-43m (No. 216)
Inequivalent atoms, fractional coordinates:
Ce: 0.000 0.000 0.000 [4 per cell]
Ho: 0.000 0.000 0.500 [4 per cell]
Ga: 0.250 0.250 0.250 [4 per cell]
Ge: 0.250 0.250 0.750 [4 per cell]

Properties
total energy: -5.10 eV/atom
E above lowest polymorph: 120 meV/atom
formation enthalpy at 0 K: -0.559 eV per atom

=====

Entry 10:
DFT (PBE-GGA) results for an optimized crystal structure of Sm4Dy2ErTh.

Unit cell a=5.066 b=5.066 c=10.162 alpha=90.00 beta=90.00 gamma=90.00
Space group P4/mmm (No. 123)
Inequivalent atoms, fractional coordinates:
Sm: 0.000 0.500 0.249 [4 per cell]
Dy: 0.000 0.000 0.000 [1 per cell]
Dy: 0.500 0.500 0.500 [1 per cell]
Er: 0.000 0.000 0.500 [1 per cell]
Th: 0.500 0.500 0.000 [1 per cell]

Properties
total energy: -4.98 eV/atom
formation enthalpy at 0 K: 0.031 eV per atom

=====

Entry 11:
DFT (PBE-GGA) results for an optimized crystal structure of ScSb3F.

Unit cell a=5.375 b=5.375 c=5.375 alpha=90.00 beta=90.00 gamma=90.00
Space group Pm-3m (No. 221)
Inequivalent atoms, fractional coordinates:
Sc: 0.000 0.000 0.000 [1 per cell]
Sb: 0.000 0.000 0.500 [3 per cell]
F: 0.500 0.500 0.500 [1 per cell]

Properties
total energy: -4.20 eV/atom
E above lowest polymorph: 353 meV/atom

=====

Entry 12:
DFT (PBE-GGA) results for an optimized crystal structure of Y3ScTe.

Unit cell a=5.655 b=5.655 c=5.655 alpha=90.00 beta=90.00 gamma=90.00
Space group Pm-3m (No. 221)
Inequivalent atoms, fractional coordinates:
Y: 0.000 0.000 0.500 [3 per cell]
Sc: 0.500 0.500 0.500 [1 per cell]
Te: 0.000 0.000 0.000 [1 per cell]

Properties
total energy: -5.75 eV/atom
E above lowest polymorph: 0 meV/atom

=====

Question: Among the records above, which one has the lowest total energy?
Answer: TcOs3Ru

=====

Please write out number 9 again, unchanged.
DFT (PBE-GGA) results for an optimized crystal structure of CeHoGaGe.

Unit cell a=7.199 b=7.199 c=7.199 alpha=90.00 beta=90.00 gamma=90.00
Space group F-43m (No. 216)
Inequivalent atoms, fractional coordinates:
Ce: 0.000 0.000 0.000 [4 per cell]
Ho: 0.000 0.000 0.500 [4 per cell]
Ga: 0.250 0.250 0.250 [4 per cell]
Ge: 0.250 0.250 0.750 [4 per cell]

Properties
total energy: -5.10 eV/atom
E above lowest polymorph: 120 meV/atom
formation enthalpy at 0 K: -0.559 eV per atom

=====

Question: Which value of total energy does entry 2 give?
Answer: -3.77 eV/atom